(1)
AcLuRuAu: optimized geometry, PBE.

Cell: 5.126 5.126 5.126 Å, 60.00 60.00 60.00°
Element x y z (fractional)
Au: 0.250 0.250 0.250
Ru: 0.750 0.750 0.750
Lu: 0.500 0.500 0.500
Ac: 0.000 0.000 0.000

Fermi-level density of states = 2.32 states/eV/f.u.
ΔE_f = -1.6 eV per formula unit
Theoretical density = 12.20 Mg/m³
E_tot = -5.689 eV/atom



(2)
AcLuSiAu: optimized geometry, PBE.

Cell: 5.253 5.253 5.253 Å, 60.00 60.00 60.00°
Element x y z (fractional)
Au: 0.500 0.500 0.500
Lu: 0.250 0.250 0.250
Ac: 0.750 0.750 0.750
Si: 0.000 0.000 0.000

Fermi-level density of states = 3.63 states/eV/f.u.
Formation energy without anion corrections = -2.11 eV/f.u.
Theoretical density = 10.16 Mg/m³
E_tot = -4.860 eV/atom



(3)
AcLuSnAu: optimized geometry, PBE.

Cell: 5.430 5.430 5.430 Å, 60.00 60.00 60.00°
Each line ends with the local moment (μB).
Element x y z (fractional)
Ac: 0.500 0.500 0.500  0.04
Lu: 0.000 0.000 0.000  0.07
Au: 0.250 0.250 0.250  0.01
Sn: 0.750 0.750 0.750  -0.01

Fermi-level density of states = 4.08 states/eV/f.u.
ΔE_f = -2.4 eV per formula unit
Theoretical density = 10.53 Mg/m³
E_tot = -4.586 eV/atom



(4)
AcLuTlAu: optimized geometry, PBE.

Cell: 5.456 5.456 5.456 Å, 60.00 60.00 60.00°
Element x y z (fractional)
Tl: 0.500 0.500 0.500
Lu: 0.750 0.750 0.750
Au: 0.000 0.000 0.000
Ac: 0.250 0.250 0.250

Fermi-level density of states = 2.20 states/eV/f.u.
ΔE_f = -1.9 eV per formula unit
Theoretical density = 11.61 Mg/m³
E_tot = -4.051 eV/atom



(5)
Ac3Mg2Au3: optimized geometry, PBE.

Cell: 4.089 4.712 12.561 Å, 100.81 99.37 90.00°
Element x y z (fractional)
Au: 0.175 0.175 0.351
Au: 0.000 0.500 0.000
Au: 0.825 0.825 0.649
Ac: 0.628 0.628 0.256
Ac: 0.372 0.372 0.744
Ac: 0.500 0.000 0.000
Mg: 0.249 0.749 0.497
Mg: 0.751 0.251 0.503

Fermi-level density of states = 6.66 states/eV/f.u.
ΔE_f = -4.5 eV per formula unit
Theoretical density = 9.35 Mg/m³
E_tot = -3.728 eV/atom



(6)
AcMg6Au4: optimized geometry, PBE.

Cell: 4.286 8.033 8.033 Å, 120.00 90.00 90.00°
Element x y z (fractional)
Ac: 0.000 0.000 0.000
Au: 0.500 0.809 0.191
Au: 0.500 0.382 0.191
Au: 0.500 0.809 0.618
Au: 0.000 0.333 0.667
Mg: 0.500 0.205 0.409
Mg: 0.500 0.205 0.795
Mg: 0.000 0.930 0.465
Mg: 0.000 0.535 0.465
Mg: 0.000 0.535 0.070
Mg: 0.500 0.591 0.795

Fermi-level density of states = 5.50 states/eV/f.u.
ΔE_f = -6.5 eV per formula unit
Theoretical density = 8.05 Mg/m³
E_tot = -3.023 eV/atom



(7)
Ac2Mg2Au15: optimized geometry, PBE.

Cell: 7.430 7.430 7.430 Å, 80.94 80.94 80.94°
Element x y z (fractional)
Au: 0.152 0.644 0.644
Au: 0.000 0.703 0.297
Au: 0.356 0.356 0.848
Au: 0.644 0.152 0.644
Au: 0.848 0.356 0.356
Au: 0.000 0.297 0.703
Au: 0.297 0.000 0.703
Au: 0.356 0.848 0.356
Au: 0.644 0.644 0.152
Au: 0.000 0.500 0.000
Au: 0.703 0.000 0.297
Au: 0.500 0.000 0.000
Au: 0.703 0.297 0.000
Au: 0.297 0.703 0.000
Au: 0.000 0.000 0.500
Ac: 0.349 0.349 0.349
Ac: 0.651 0.651 0.651
Mg: 0.898 0.898 0.898
Mg: 0.102 0.102 0.102

Fermi-level density of states = 6.85 states/eV/f.u.
ΔE_f = -7.9 eV per formula unit
Theoretical density = 14.48 Mg/m³
E_tot = -3.602 eV/atom



(8)
AcMg3Au: optimized geometry, PBE.

Cell: 5.975 6.264 7.587 Å, 90.00 112.18 90.00°
Element x y z (fractional)
Mg: 0.738 0.187 0.474
Mg: 0.738 0.708 0.474
Mg: 0.197 0.948 0.395
Mg: 0.296 0.687 0.087
Mg: 0.837 0.448 0.166
Mg: 0.296 0.208 0.087
Au: 0.882 0.448 0.816
Au: 0.153 0.948 0.744
Ac: 0.302 0.448 0.641
Ac: 0.732 0.948 0.919

Fermi-level density of states = 3.41 states/eV/f.u.
ΔE_f = -1.8 eV per formula unit
Theoretical density = 6.28 Mg/m³
E_tot = -2.789 eV/atom



Question: What is the formula in the eighth record?
Answer: AcMg3Au